# BeAlCl2 PBE optimized geometry
# Relative energy among the computed polymorphs (kcal/mol of atoms): 9.54
# Energy (eV per atom): -3.03
# Mass density (g cm⁻³): 2.32
# Formation energy without anion corrections (meV/atom): -237
data_BeAlCl2
_symmetry_space_group_name_H-M 'P 4 m m'
_symmetry_Int_Tables_number 99
_symmetry_space_group_name_Hall 'P 4 -2'
_cell_length_a 2.995
_cell_length_b 2.995
_cell_length_c 8.536
_cell_angle_alpha 90.00
_cell_angle_beta 90.00
_cell_angle_gamma 90.00
loop_
_atom_site_label
_atom_site_type_symbol
_atom_site_fract_x
_atom_site_fract_y
_atom_site_fract_z
_atom_site_occupancy
Be1 Be 0.000 0.000 0.000 1
Al1 Al 0.500 0.500 0.792 1
Cl1 Cl 0.000 0.000 0.597 1
Cl2 Cl 0.500 0.500 0.148 1